ScZn9Ag2: relaxed, PBE.

Unit cell a=5.1454 b=5.1454 c=8.8400 alpha=73.08 beta=73.08 gamma=60.00
Last column: nearest neighbours and their distance in Å.
Fractional coordinates of all 12 atoms:
Sc 0.0000 0.0000 0.0000  6 Zn 2.97
Ag 0.1385 0.1385 0.5845  12 Zn 2.90-3.11
Ag 0.8615 0.8615 0.4155  12 Zn 2.90-3.11
Zn 0.5000 0.5000 0.5000  6 Zn 2.53
Zn 0.0807 0.5872 0.7448  7 Zn 2.53-2.61
Zn 0.5872 0.0807 0.7448  7 Zn 2.53-2.61
Zn 0.6666 0.6666 0.0002  6 Zn 2.58-2.60
Zn 0.3334 0.3334 0.9998  6 Zn 2.58-2.60
Zn 0.4128 0.4128 0.2552  7 Zn 2.53-2.61
Zn 0.5872 0.5872 0.7448  7 Zn 2.53-2.61
Zn 0.9193 0.4128 0.2552  7 Zn 2.53-2.61
Zn 0.4128 0.9193 0.2552  7 Zn 2.53-2.61

Summary:
D(E_F) in states/eV/f.u.: 3.77
Crystal system: trigonal

***

Tb2Nd7Tm2: relaxed, PBE.

Unit cell a=9.6730 b=6.9133 c=6.9133 alpha=122.35 beta=90.01 gamma=89.99
Last column: nearest neighbours and their distance in Å.
Fractional coordinates of all 11 atoms:
Nd 0.6831 0.5000 0.0000  5 Nd 3.33-3.70, 2 Tb 3.50, 2 Tm 3.51
Nd 0.3169 0.5000 0.0000  5 Nd 3.33-3.70, 2 Tb 3.50, 2 Tm 3.51
Nd 0.0000 0.0000 0.0000  2 Tb 3.26
Nd 0.8197 0.5000 0.5000  2 Tb 3.30, 1 Nd 3.49, 2 Tm 3.51
Nd 0.1803 0.5000 0.5000  2 Tb 3.30, 1 Nd 3.49, 2 Tm 3.51
Nd 0.3169 0.0000 0.5000  5 Nd 3.33-3.70, 2 Tb 3.50, 2 Tm 3.51
Nd 0.6831 0.0000 0.5000  5 Nd 3.33-3.70, 2 Tb 3.50, 2 Tm 3.51
Tm 0.5000 0.2515 0.2515  2 Tm 3.31-3.35, 6 Nd 3.51
Tm 0.5000 0.7485 0.7485  2 Tm 3.31-3.35, 6 Nd 3.51
Tb 0.0000 0.7311 0.2689  7 Nd 3.26-3.50, 2 Tb 3.36
Tb 0.0000 0.2689 0.7311  7 Nd 3.26-3.50, 2 Tb 3.36

Summary:
D(E_F) in states/eV/f.u.: 16.65
Crystal system: orthorhombic
Distance to the lowest polymorph of the same formula in meV/atom: 236

***

BeMoPb2Se: relaxed, PBE.

Unit cell a=5.0670 b=4.6263 c=5.0670 alpha=90.00 beta=90.00 gamma=90.00
Last column: nearest neighbours and their distance in Å.
Fractional coordinates of all 5 atoms:
Se 0.5000 0.5000 0.5000  8 Pb 3.43, 4 Mo 3.58
Pb 0.0000 0.0000 0.5000  2 Be 2.53
Pb 0.5000 0.0000 0.0000  2 Be 2.53
Mo 0.0000 0.5000 0.0000  2 Be 2.31
Be 0.0000 0.0000 0.0000  2 Mo 2.31, 4 Pb 2.53

Summary:
E_form (uncorrected) in eV per atom: 0.77
D(E_F) in states/eV/f.u.: 1.97
Crystal system: tetragonal

***

Ta2TlTePt: relaxed, PBE.

Unit cell a=5.2237 b=4.9385 c=5.2237 alpha=90.00 beta=90.00 gamma=90.00
Last column: nearest neighbours and their distance in Å.
Fractional coordinates of all 5 atoms:
Te 0.5000 0.5000 0.5000  8 Ta 3.59, 4 Pt 3.69
Tl 0.0000 0.0000 0.0000  2 Pt 2.47, 4 Ta 2.61
Pt 0.0000 0.5000 0.0000  2 Tl 2.47
Ta 0.5000 0.0000 0.0000  2 Tl 2.61
Ta 0.0000 0.0000 0.5000  2 Tl 2.61

Summary:
E_form (uncorrected) in eV per atom: 1.90
D(E_F) in states/eV/f.u.: 6.35
Crystal system: tetragonal

***

H3Pd8Au2: relaxed, PBE.

Unit cell a=2.8560 b=8.8938 c=12.3998 alpha=143.87 beta=96.69 gamma=99.18
Last column: nearest neighbours and their distance in Å.
Fractional coordinates of all 13 atoms:
Pd 0.2326 0.7491 0.7158  1 H 2.01
Pd 0.8351 0.7532 0.9179  3 H 2.00-2.07
Pd 0.4336 0.7518 0.1171  3 H 2.07-2.11
Pd 0.7689 0.2530 0.2848  1 H 2.04
Pd 0.1667 0.2492 0.0830  3 H 2.00-2.04
Pd 0.0361 0.7531 0.3194  2 H 1.96-1.98
Pd 0.9656 0.2494 0.6813  2 H 1.96-1.98
Pd 0.5681 0.2507 0.8837  3 H 2.00-2.11
Au 0.6362 0.7523 0.5192  10 Pd 2.83-2.89, 2 Au 2.86
Au 0.3653 0.2498 0.4815  10 Pd 2.83-2.90, 2 Au 2.86
H 0.4950 0.9944 0.9964  6 Pd 2.00-2.04
H 0.6877 0.4806 0.8855  6 Pd 1.96-2.11
H 0.3091 0.5133 0.1145  6 Pd 1.96-2.11

Summary:
D(E_F) in states/eV/f.u.: 14.07
Crystal system: triclinic
Distance to the lowest polymorph of the same formula in meV/atom: 0

***

TbPuRu: relaxed, PBE.

Unit cell a=4.0520 b=6.2799 c=11.8303 alpha=96.39 beta=90.00 gamma=108.82
Last column: nearest neighbours and their distance in Å.
Fractional coordinates of all 12 atoms:
Ru 0.7191 0.4383 0.8334  4 Pu 2.69-2.93
Ru 0.2809 0.5617 0.1666  4 Pu 2.69-2.93
Ru 0.4084 0.8167 0.5596  2 Pu 2.58, 1 Ru 2.73
Ru 0.5916 0.1833 0.4404  2 Pu 2.58, 1 Ru 2.73
Tb 0.9183 0.8366 0.3470  6 Ru 3.01-3.24, 2 Pu 3.28
Tb 0.4080 0.8160 0.8219  3 Ru 3.04-3.10, 2 Pu 3.39
Tb 0.0817 0.1634 0.6530  6 Ru 3.01-3.24, 2 Pu 3.28
Tb 0.5920 0.1840 0.1781  3 Ru 3.04-3.10, 2 Pu 3.39
Pu 0.8639 0.7277 0.0519  3 Ru 2.69-2.93
Pu 0.1361 0.2723 0.9481  3 Ru 2.69-2.93
Pu 0.2101 0.4202 0.3889  3 Ru 2.58-2.85
Pu 0.7899 0.5798 0.6111  3 Ru 2.58-2.85

Summary:
D(E_F) in states/eV/f.u.: 7.00
Crystal system: monoclinic
Distance to the lowest polymorph of the same formula in meV/atom: 0

***

NdErLu2: relaxed, PBE.

Unit cell a=3.5333 b=3.5333 c=11.6105 alpha=81.25 beta=81.25 gamma=60.00
Last column: nearest neighbours and their distance in Å.
Fractional coordinates of all 4 atoms:
Nd 0.5000 0.5000 0.5000  6 Nd 3.53, 6 Lu 3.55
Lu 0.2515 0.2515 0.2456  3 Er 3.47, 6 Lu 3.53, 3 Nd 3.55
Lu 0.7485 0.7485 0.7544  3 Er 3.47, 6 Lu 3.53, 3 Nd 3.55
Er 0.0000 0.0000 0.0000  6 Lu 3.47, 6 Er 3.53

Summary:
D(E_F) in states/eV/f.u.: 5.61
Crystal system: trigonal
Distance to the lowest polymorph of the same formula in meV/atom: 0

***

KCuSe2: relaxed, PBE.

Unit cell a=5.0069 b=5.0069 c=5.0069 alpha=60.00 beta=60.00 gamma=60.00
Last column: nearest neighbours and their distance in Å.
Fractional coordinates of all 4 atoms:
Cu 0.5000 0.5000 0.5000  8 Se 3.07
Se 0.7500 0.7500 0.7500  4 K 3.07, 4 Cu 3.07
Se 0.2500 0.2500 0.2500  4 K 3.07, 4 Cu 3.07
K 0.0000 0.0000 0.0000  8 Se 3.07

Summary:
E_form (uncorrected) in eV per atom: 0.07
D(E_F) in states/eV/f.u.: 4.91
Crystal system: cubic

***

NbTe2SeI: relaxed, PBE.

Unit cell a=5.4056 b=5.4056 c=5.4294 alpha=90.00 beta=90.00 gamma=90.00
Last column: nearest neighbours and their distance in Å.
Fractional coordinates of all 5 atoms:
Te 0.0000 0.5000 0.0000  2 Nb 2.70
Te 0.5000 0.0000 0.0000  2 Nb 2.70
I 0.0000 0.0000 0.5000  2 Nb 2.71
Se 0.5000 0.5000 0.5000  4 I 3.82, 8 Te 3.83
Nb 0.0000 0.0000 0.0000  4 Te 2.70, 2 I 2.71

Summary:
E_form (uncorrected) in eV per atom: 0.34
D(E_F) in states/eV/f.u.: 6.36
Crystal system: tetragonal
Distance to the lowest polymorph of the same formula in meV/atom: 0

***

TmH6Ru3: relaxed, PBE.

Unit cell a=4.6631 b=4.6667 c=5.2835 alpha=90.00 beta=116.22 gamma=120.03
Last column: nearest neighbours and their distance in Å.
Fractional coordinates of all 10 atoms:
Ru 0.6611 0.3305 0.9918  6 H 1.79-1.91
Ru 0.3444 0.6721 0.0164  6 H 1.82-1.93
Ru 0.1855 0.0919 0.2779  3 H 1.77
H 0.5718 0.4640 0.2766  3 Ru 1.77-1.92
H 0.3151 0.9050 0.7390  2 Ru 1.79-1.82
H 0.3289 0.4241 0.7394  2 Ru 1.79-1.82
H 0.8343 0.4105 0.7391  2 Ru 1.80-1.82
H 0.1686 0.7047 0.2780  3 Ru 1.77-1.93
H 0.8138 0.1088 0.2769  3 Ru 1.77-1.93
Tm 0.7764 0.8885 0.6648  9 H 2.32-2.39

Summary:
D(E_F) in states/eV/f.u.: 6.23
Crystal system: triclinic

***

Lu2CdCu: relaxed, PBE.

Unit cell a=3.4246 b=3.4246 c=7.5541 alpha=90.00 beta=90.00 gamma=90.00
Last column: nearest neighbours and their distance in Å.
Fractional coordinates of all 4 atoms:
Cd 0.5000 0.5000 0.5000  8 Lu 3.22, 4 Cd 3.42
Cu 0.5000 0.5000 0.0000  8 Lu 2.94
Lu 0.0000 0.0000 0.2198  4 Cu 2.94, 4 Cd 3.22
Lu 0.0000 0.0000 0.7802  4 Cu 2.94, 4 Cd 3.22

Summary:
D(E_F) in states/eV/f.u.: 2.38
Crystal system: tetragonal
Distance to the lowest polymorph of the same formula in meV/atom: 0

***

Er4SiSe3: relaxed, PBE.

Unit cell a=7.0134 b=7.0534 c=8.1530 alpha=90.00 beta=90.00 gamma=109.48
Last column: nearest neighbours and their distance in Å.
Fractional coordinates of all 16 atoms:
Er 0.4988 0.7638 0.1170  2 Si 2.79, 4 Se 2.88-2.99
Er 0.5121 0.7598 0.6387  1 Si 2.74, 5 Se 2.85-2.99
Er 0.5012 0.2362 0.8830  2 Si 2.79, 4 Se 2.88-2.99
Er 0.9879 0.2402 0.6387  1 Si 2.74, 5 Se 2.85-2.99
Er 0.9988 0.7638 0.8830  2 Si 2.79, 4 Se 2.88-2.99
Er 0.0121 0.7598 0.3613  1 Si 2.74, 5 Se 2.85-2.99
Er 0.4879 0.2402 0.3613  1 Si 2.74, 5 Se 2.85-2.99
Er 0.0012 0.2362 0.1170  2 Si 2.79, 4 Se 2.88-2.99
Si 0.2500 0.0000 0.1238  6 Er 2.74-2.79
Si 0.7500 0.0000 0.8762  6 Er 2.74-2.79
Se 0.2500 0.0000 0.6218  6 Er 2.88-2.91
Se 0.7500 0.5000 0.6198  6 Er 2.86-2.99
Se 0.7500 0.5000 0.1277  6 Er 2.85-2.96
Se 0.2500 0.5000 0.8723  6 Er 2.85-2.96
Se 0.7500 0.0000 0.3782  6 Er 2.88-2.91
Se 0.2500 0.5000 0.3802  6 Er 2.86-2.99

Summary:
E_form (uncorrected) in eV per atom: -1.55
D(E_F) in states/eV/f.u.: 3.58
Crystal system: monoclinic

***

What electronic total energy values result from the calculations? In sequence: -2.064, -4.357, -4.323, -5.150, -4.537, -9.601, -4.561, -2.966, -3.936, -5.382, -3.813, -5.821 eV per atom.